Entry 1:
TaFe2Sb PBE relaxed; uncorrected formation energy = 0.316 eV per atom; spin magnetization = 2.06 μB/f.u.; electronic total energy = -7.909 eV per atom; space-group type = R-3m, No. 166
1.0
1.5386 0.8883 7.8295
-1.5386 0.8883 7.8295
0.0000 -1.7766 7.8295
Ta Fe Sb
1 2 1
Cartesian
0.0000 0.0000 0.0000 Ta
0.0000 0.0000 5.9642 Fe
0.0000 0.0000 17.5244 Fe
0.0000 0.0000 11.7443 Sb

Entry 2:
TaFe2Sb PBE relaxed; uncorrected formation energy = 0.216 eV per atom; spin magnetization = 3.98 μB/f.u.; electronic total energy = -8.009 eV per atom; space-group type = Pm, No. 6
1.0
2.9399 0.0000 0.0000
0.0000 4.2571 0.0000
-0.8045 0.0000 5.1001
Ta Fe Sb
1 2 1
Cartesian
0.0000 0.0000 0.0000 Ta
0.9401 0.0000 2.2812 Fe
1.9170 2.1285 1.2642 Fe
0.6252 2.1285 3.6813 Sb

Entry 3:
TaFe2Sb PBE relaxed; uncorrected formation energy = 0.093 eV per atom; spin magnetization = 0.01 μB/f.u.; electronic total energy = -8.132 eV per atom; space-group type = P4/mmm, No. 123
1.0
4.1145 0.0000 0.0000
0.0000 4.1145 0.0000
0.0000 0.0000 3.4506
Ta Fe Sb
1 2 1
Cartesian
0.0000 0.0000 0.0000 Ta
0.0000 2.0572 1.7253 Fe
2.0572 0.0000 1.7253 Fe
2.0572 2.0572 0.0000 Sb

Entry 4:
Ta4FeSb PBE relaxed; uncorrected formation energy = 0.570 eV per atom; spin magnetization = 1.42 μB/f.u.; electronic total energy = -9.429 eV per atom; space-group type = F-43m, No. 216
1.0
0.0000 3.8636 3.8636
3.8636 0.0000 3.8636
3.8636 3.8636 0.0000
Ta Fe Sb
4 1 1
Cartesian
0.9650 0.9650 0.9650 Ta
2.8986 2.8986 0.9650 Ta
2.8986 0.9650 2.8986 Ta
0.9650 2.8986 2.8986 Ta
5.7954 5.7954 5.7954 Fe
3.8636 3.8636 3.8636 Sb

Entry 5:
TaFe3Sb PBE relaxed; polymorph energy (0 for the lowest one) = 160 meV/atom; uncorrected formation energy = 1.486 eV per atom; spin magnetization = 4.84 μB/f.u.; electronic total energy = -6.787 eV per atom; space-group type = Pm-3m, No. 221
1.0
4.5665 0.0000 0.0000
0.0000 4.5665 0.0000
0.0000 0.0000 4.5665
Ta Fe Sb
1 3 1
Cartesian
0.0000 0.0000 0.0000 Ta
0.0000 2.2832 2.2832 Fe
2.2832 0.0000 2.2832 Fe
2.2832 2.2832 0.0000 Fe
2.2832 2.2832 2.2832 Sb

Entry 6:
TaFe3Sb PBE relaxed; polymorph energy (0 for the lowest one) = 0 meV/atom; uncorrected formation energy = 1.326 eV per atom; spin magnetization = 5.06 μB/f.u.; electronic total energy = -6.946 eV per atom; space-group type = Pm-3m, No. 221
1.0
4.5870 0.0000 0.0000
0.0000 4.5870 0.0000
0.0000 0.0000 4.5870
Ta Fe Sb
1 3 1
Cartesian
0.0000 0.0000 0.0000 Ta
0.0000 0.0000 2.2935 Fe
0.0000 2.2935 0.0000 Fe
2.2935 0.0000 0.0000 Fe
2.2935 2.2935 2.2935 Sb

Entry 7:
TaFe2Sb PBE relaxed; uncorrected formation energy = 0.212 eV per atom; spin magnetization = 3.89 μB/f.u.; electronic total energy = -8.013 eV per atom; space-group type = P2/m, No. 10
1.0
2.9688 0.0000 0.0000
0.0000 4.2242 0.0000
-0.3769 0.0000 5.2907
Ta Fe Sb
1 2 1
Cartesian
0.0000 0.0000 0.0000 Ta
1.1171 2.1121 1.0924 Fe
1.4749 2.1121 4.1983 Fe
1.2960 0.0000 2.6454 Sb

Entry 8:
TaFeSb PBE relaxed; uncorrected formation energy = 0.298 eV per atom; spin magnetization = 0.68 μB/f.u.; electronic total energy = -7.848 eV per atom; space-group type = P3m1, No. 156
1.0
3.2053 0.0000 0.0000
-1.6027 2.7759 0.0000
0.0000 0.0000 6.1681
Ta Fe Sb
1 1 1
Cartesian
0.0000 0.0000 0.0000 Ta
1.6027 0.9253 1.5890 Fe
0.0000 1.8506 3.7090 Sb

Entry 9:
TaFe2Sb PBE relaxed; uncorrected formation energy = 0.037 eV per atom; spin magnetization = 2.13 μB/f.u.; electronic total energy = -8.188 eV per atom; space-group type = P4/mmm, No. 123
1.0
3.1973 0.0000 0.0000
0.0000 3.1973 0.0000
0.0000 0.0000 5.9001
Ta Fe Sb
1 2 1
Cartesian
0.0000 0.0000 0.0000 Ta
1.5987 1.5987 1.3943 Fe
1.5987 1.5987 4.5057 Fe
0.0000 0.0000 2.9500 Sb

Entry 10:
TaFeSb4 PBE relaxed; uncorrected formation energy = 1.185 eV per atom; spin magnetization = 2.77 μB/f.u.; electronic total energy = -4.949 eV per atom; space-group type = F-43m, No. 216
1.0
0.0000 4.2225 4.2225
4.2225 0.0000 4.2225
4.2225 4.2225 0.0000
Ta Fe Sb
1 1 4
Cartesian
0.0000 0.0000 0.0000 Ta
6.3337 6.3337 6.3337 Fe
3.1648 3.1648 3.1648 Sb
5.2801 5.2801 3.1648 Sb
5.2801 3.1648 5.2801 Sb
3.1648 5.2801 5.2801 Sb

Entry 11:
TaFeSb PBE relaxed; uncorrected formation energy = 0.146 eV per atom; spin magnetization = 0.00 μB/f.u.; electronic total energy = -8.000 eV per atom; space-group type = P-6m2, No. 187
1.0
4.3432 0.0000 0.0000
-2.1716 3.7613 0.0000
0.0000 0.0000 3.0086
Ta Fe Sb
1 1 1
Cartesian
0.0000 0.0000 0.0000 Ta
2.1716 1.2538 1.5043 Fe
0.0000 2.5076 1.5043 Sb

Entry 12:
TaFeSb3 PBE relaxed; polymorph energy (0 for the lowest one) = 0 meV/atom; uncorrected formation energy = 0.977 eV per atom; spin magnetization = 3.34 μB/f.u.; electronic total energy = -5.559 eV per atom; space-group type = Pm-3m, No. 221
1.0
5.3318 0.0000 0.0000
0.0000 5.3318 0.0000
0.0000 0.0000 5.3318
Ta Fe Sb
1 1 3
Cartesian
0.0000 0.0000 0.0000 Ta
2.6659 2.6659 2.6659 Fe
0.0000 0.0000 2.6659 Sb
0.0000 2.6659 0.0000 Sb
2.6659 0.0000 0.0000 Sb